Record 1
Here is an optimized crystal structure of ScMoAuI2 from the Alexandria database. Energies are from PBE.

extended XYZ file:
```
5
Lattice="5.3277 0.0000 0.0000 0.0000 5.3277 0.0000 0.0000 0.0000 5.1443" Properties=species:S:1:pos:R:3 pbc="T T T"
Sc 0.0000 0.0000 0.0000
Mo 2.6639 2.6639 2.5721
Au 2.6639 2.6639 0.0000
I 0.0000 2.6639 2.5721
I 2.6639 0.0000 2.5721
```

Results
raw formation energy	0.72	eV/atom
theoretical density	6.7	g/cm³
space group	P4/mmm (123)

---

Record 2
Here is an optimized crystal structure of TaMoAu2I from the Alexandria database. Energies are from PBE.

extended XYZ file:
```
5
Lattice="5.1791 0.0000 0.0000 0.0000 5.1791 0.0000 0.0000 0.0000 4.7649" Properties=species:S:1:pos:R:3 pbc="T T T"
Ta 0.0000 0.0000 0.0000
Mo 0.0000 0.0000 2.3825
Au 0.0000 2.5896 2.3825
Au 2.5896 0.0000 2.3825
I 2.5896 2.5896 0.0000
```

Results
raw formation energy	1.24	eV/atom
theoretical density	10.4	g/cm³
space group	P4/mmm (123)

---

Record 3
Here is an optimized crystal structure of Te2MoAuI from the Alexandria database. Energies are from PBE.

extended XYZ file:
```
5
Lattice="5.5004 0.0000 0.0000 0.0000 5.5004 0.0000 0.0000 0.0000 5.4788" Properties=species:S:1:pos:R:3 pbc="T T T"
Te 0.0000 2.7502 0.0000
Te 2.7502 0.0000 0.0000
Mo 0.0000 0.0000 2.7394
Au 2.7502 2.7502 0.0000
I 2.7502 2.7502 2.7394
```

Results
raw formation energy	1.09	eV/atom
theoretical density	6.8	g/cm³
excess energy over the best structure of this formula in the dataset	467	meV/atom
space group	P4/mmm (123)

---

Record 4
Here is an optimized crystal structure of Te2MoAuI from the Alexandria database. Energies are from PBE.

extended XYZ file:
```
5
Lattice="5.1867 0.0000 0.0000 0.0000 5.1867 0.0000 0.0000 0.0000 5.7729" Properties=species:S:1:pos:R:3 pbc="T T T"
Te 0.0000 2.5933 0.0000
Te 2.5933 0.0000 0.0000
Mo 0.0000 0.0000 0.0000
Au 2.5933 2.5933 2.8864
I 0.0000 0.0000 2.8864
```

Results
raw formation energy	0.62	eV/atom
theoretical density	7.2	g/cm³
excess energy over the best structure of this formula in the dataset	0	meV/atom
space group	P4/mmm (123)